1.
! SrTa3Br (PBE-GGA, optimized geometry); values from VASP
&SYSTEM
  ibrav = 0, nat = 5, ntyp = 3
/
ATOMIC_SPECIES
Sr 87.62 Sr.upf
Ta 180.95 Ta.upf
Br 79.90 Br.upf
CELL_PARAMETERS angstrom
5.053 0.000 0.000
0.000 5.053 0.000
0.000 0.000 5.053
ATOMIC_POSITIONS angstrom
Sr 0.000 0.000 0.000
Ta 0.000 0.000 2.526
Ta 0.000 2.526 0.000
Ta 2.526 0.000 0.000
Br 2.526 2.526 2.526
! Final energy in eV per atom: -4.6971
! Offset from the most stable computed form in meV per atom: 1714.2
! Total moment in μB per formula unit: 0.0
! Calculated volume in Å³ per cell: 129.0
! Space-group type: Pm-3m
! Raw formation energy in eV/atom: 3.085

=====

2.
! AsOs2Rh (PBE-GGA, optimized geometry); values from VASP
&SYSTEM
  ibrav = 0, nat = 4, ntyp = 3
/
ATOMIC_SPECIES
As 74.92 As.upf
Os 190.23 Os.upf
Rh 102.91 Rh.upf
CELL_PARAMETERS angstrom
2.796 0.000 0.000
0.000 4.568 0.000
0.000 0.000 4.674
ATOMIC_POSITIONS angstrom
As 0.000 0.000 0.000
Os 0.000 2.284 2.337
Os 1.398 0.000 2.337
Rh 1.398 2.284 0.000
! Final energy in eV per atom: -8.1549
! Total moment in μB per formula unit: 0.0
! Calculated volume in Å³ per cell: 59.7
! Space-group type: Pmmm

=====

3.
! SiNiIrRu (PBE-GGA, optimized geometry); values from VASP
&SYSTEM
  ibrav = 0, nat = 4, ntyp = 4
/
ATOMIC_SPECIES
Si 28.09 Si.upf
Ni 58.69 Ni.upf
Ir 192.22 Ir.upf
Ru 101.07 Ru.upf
CELL_PARAMETERS angstrom
0.000 2.941 2.941
2.941 0.000 2.941
2.941 2.941 0.000
ATOMIC_POSITIONS angstrom
Si 0.000 0.000 0.000
Ni 2.941 2.941 2.941
Ir 1.470 1.470 1.470
Ru 4.411 4.411 4.411
! Final energy in eV per atom: -7.6556
! Total moment in μB per formula unit: 0.0
! Calculated volume in Å³ per cell: 50.9
! Space-group type: F-43m
! Raw formation energy in eV/atom: -0.320